Below is an optimized crystal structure of Te2Mo, with properties calculated at the PBEsol level.

Final energy = -6.24 eV per atom
Formation energy (no corrections) = 33 meV/atom
Theoretical density = 8.10 g/cm3

Unit cell a=8.4892 b=8.4892 c=5.1316 alpha=90.00 beta=90.00 gamma=157.10
Element x y z (fractional)
Te: 0.0887 0.9113 0.7500
Te: 0.3502 0.6498 0.7500
Te: 0.6498 0.3502 0.2500
Te: 0.9113 0.0887 0.2500
Mo: 0.2807 0.7193 0.2500
Mo: 0.7193 0.2807 0.7500